A plane-wave DFT calculation with meta-GGA SCAN was carried out for a PBEsol-optimized structure of CrSb3W.

- theoretical density (g/cm³) = 8.4
- E_tot (eV per formula unit) = -193.129
- Fermi-level density of states (states/eV/atom) = 0.7574
- formation energy (no corrections) (kJ/mol of atoms) = 130

Lattice parameters (Å, degrees): 4.921 4.921 4.921 90.00 90.00 90.00
Fractional coordinates of all 5 atoms:
Cr 0.000 0.000 0.000
Sb 0.000 0.000 0.500
Sb 0.000 0.500 0.000
Sb 0.500 0.000 0.000
W 0.500 0.500 0.500